Entry 1:
Here is a relaxed BaHg2Pd2Au crystal from Alexandria via LeMat-Bulk. Energies are from GGA-PBE.

## Properties
final energy	-17.775	eV per formula unit
crystal system	tetragonal
DOS(E_F)	1.71	states/eV/f.u.
total magnetic moment	0.00	μB/f.u.
calculated formation energy	-264	meV/atom

The structure in CIF format:
```
data_BaHg2Pd2Au
_chemical_formula_sum 'Ba2 Hg4 Pd4 Au2'
_symmetry_space_group_name_H-M 'I 4/m m m'
_symmetry_Int_Tables_number 139
_symmetry_space_group_name_Hall '-I 4 2'
_cell_length_a 5.370
_cell_length_b 5.370
_cell_length_c 11.665
_cell_angle_alpha 90.00
_cell_angle_beta 90.00
_cell_angle_gamma 90.00
loop_
_atom_site_label
_atom_site_type_symbol
_atom_site_fract_x
_atom_site_fract_y
_atom_site_fract_z
Ba1 Ba 0.000 0.000 0.000
Hg1 Hg 0.000 0.500 0.250
Pd1 Pd 0.000 0.000 0.271
Au1 Au 0.000 0.000 0.500
```

Entry 2:
Here is a relaxed BaHgPdAu crystal from Alexandria via LeMat-Bulk. Energies are from GGA-PBE.

## Properties
final energy	-12.690	eV per formula unit
crystal system	monoclinic
DOS(E_F)	2.27	states/eV/f.u.
total magnetic moment	0.00	μB/f.u.
calculated formation energy	-499	meV/atom

The structure in CIF format:
```
data_BaHgPdAu
_chemical_formula_sum 'Ba2 Hg2 Pd2 Au2'
_symmetry_space_group_name_H-M 'C 1 m 1'
_symmetry_Int_Tables_number 8
_cell_length_a 8.348
_cell_length_b 4.823
_cell_length_c 6.109
_cell_angle_alpha 90.00
_cell_angle_beta 117.18
_cell_angle_gamma 90.00
loop_
_symmetry_equiv_pos_as_xyz
'x,y,z'
'x,-y,z'
'x+1/2,y+1/2,z'
'x+1/2,-y+1/2,z'
loop_
_atom_site_label
_atom_site_type_symbol
_atom_site_fract_x
_atom_site_fract_y
_atom_site_fract_z
Ba1 Ba 0.000 0.000 0.000
Hg1 Hg 0.018 0.500 0.554
Pd1 Pd 0.196 0.000 0.587
Au1 Au 0.295 0.500 0.385
```

Entry 3:
Here is a relaxed Ba3Hg2Pd2Au4 crystal from Alexandria via LeMat-Bulk. Energies are from GGA-PBE.

## Properties
final energy	-35.483	eV per formula unit
crystal system	trigonal
DOS(E_F)	3.95	states/eV/f.u.
total magnetic moment	0.00	μB/f.u.
calculated formation energy	-511	meV/atom

The structure in CIF format:
```
data_Ba3Hg2Pd2Au4
_chemical_formula_sum 'Ba3 Hg2 Pd2 Au4'
_symmetry_space_group_name_H-M 'P -3 m 1'
_symmetry_Int_Tables_number 164
_symmetry_space_group_name_Hall '-P 3 2"'
_cell_length_a 4.7683
_cell_length_b 4.7683
_cell_length_c 16.3037
_cell_angle_alpha 90.00
_cell_angle_beta 90.00
_cell_angle_gamma 120.00
loop_
_atom_site_label
_atom_site_type_symbol
_atom_site_fract_x
_atom_site_fract_y
_atom_site_fract_z
Ba1 Ba 0.0000 0.0000 0.0000
Ba2 Ba 0.0000 0.0000 0.2640
Hg1 Hg 0.3333 0.6667 0.5682
Pd1 Pd 0.3333 0.6667 0.1357
Au1 Au 0.3333 0.6667 0.3835
Au2 Au 0.3333 0.6667 0.8670
```

Entry 4:
Here is a relaxed Ba3Hg2Pt2Au4 crystal from Alexandria via LeMat-Bulk. Energies are from GGA-PBE.

## Properties
final energy	-37.409	eV per formula unit
crystal system	trigonal
DOS(E_F)	4.38	states/eV/f.u.
total magnetic moment	0.00	μB/f.u.
calculated formation energy	-531	meV/atom

The structure in CIF format:
```
data_Ba3Hg2Pt2Au4
_chemical_formula_sum 'Ba3 Hg2 Pt2 Au4'
_symmetry_space_group_name_H-M 'P -3 m 1'
_symmetry_Int_Tables_number 164
_symmetry_space_group_name_Hall '-P 3 2"'
_cell_length_a 4.7384
_cell_length_b 4.7384
_cell_length_c 16.4828
_cell_angle_alpha 90.00
_cell_angle_beta 90.00
_cell_angle_gamma 120.00
loop_
_atom_site_label
_atom_site_type_symbol
_atom_site_fract_x
_atom_site_fract_y
_atom_site_fract_z
Ba1 Ba 0.0000 0.0000 0.0000
Ba2 Ba 0.0000 0.0000 0.2627
Hg1 Hg 0.3333 0.6667 0.5674
Pt1 Pt 0.3333 0.6667 0.1345
Au1 Au 0.3333 0.6667 0.3840
Au2 Au 0.3333 0.6667 0.8669
```

Entry 5:
Here is a relaxed Ba6HgPt2Au crystal from Alexandria via LeMat-Bulk. Energies are from GGA-PBE.

## Properties
final energy	-33.056	eV per formula unit
crystal system	trigonal
DOS(E_F)	6.41	states/eV/f.u.
total magnetic moment	0.00	μB/f.u.
calculated formation energy	-586	meV/atom

The structure in CIF format:
```
data_Ba6HgPt2Au
_chemical_formula_sum 'Ba18 Hg3 Pt6 Au3'
_symmetry_space_group_name_H-M 'R 3'
_symmetry_Int_Tables_number 146
_symmetry_space_group_name_Hall 'R 3'
_cell_length_a 8.3235
_cell_length_b 8.3235
_cell_length_c 21.9937
_cell_angle_alpha 90.00
_cell_angle_beta 90.00
_cell_angle_gamma 120.00
loop_
_atom_site_label
_atom_site_type_symbol
_atom_site_fract_x
_atom_site_fract_y
_atom_site_fract_z
Ba1 Ba 0.0052 0.3710 0.0000
Ba2 Ba 0.0104 0.6173 0.5022
Hg1 Hg 0.0000 0.0000 0.4449
Pt1 Pt 0.0000 0.0000 0.2489
Pt2 Pt 0.0000 0.0000 0.7448
Au1 Au 0.0000 0.0000 0.9382
```

Entry 6:
Here is a relaxed Ba6HgPtAu2 crystal from Alexandria via LeMat-Bulk. Energies are from GGA-PBE.

## Properties
final energy	-30.125	eV per formula unit
crystal system	trigonal
DOS(E_F)	6.45	states/eV/f.u.
total magnetic moment	0.00	μB/f.u.
calculated formation energy	-569	meV/atom

The structure in CIF format:
```
data_Ba6HgPtAu2
_chemical_formula_sum 'Ba18 Hg3 Pt3 Au6'
_symmetry_space_group_name_H-M 'R 3'
_symmetry_Int_Tables_number 146
_symmetry_space_group_name_Hall 'R 3'
_cell_length_a 8.2770
_cell_length_b 8.2770
_cell_length_c 22.9545
_cell_angle_alpha 90.00
_cell_angle_beta 90.00
_cell_angle_gamma 120.00
loop_
_atom_site_label
_atom_site_type_symbol
_atom_site_fract_x
_atom_site_fract_y
_atom_site_fract_z
Ba1 Ba 0.9998 0.3213 0.0000
Ba2 Ba 0.0343 0.6829 0.8261
Hg1 Hg 0.0000 0.0000 0.5737
Pt1 Pt 0.0000 0.0000 0.0758
Au1 Au 0.0000 0.0000 0.2548
Au2 Au 0.0000 0.0000 0.7453
```

Entry 7:
Here is a relaxed Ba8Hg2PtAu crystal from Alexandria via LeMat-Bulk. Energies are from GGA-PBE.

## Properties
final energy	-30.588	eV per formula unit
crystal system	monoclinic
DOS(E_F)	11.45	states/eV/f.u.
total magnetic moment	0.00	μB/f.u.
calculated formation energy	-440	meV/atom

The structure in CIF format:
```
data_Ba8Hg2PtAu
_chemical_formula_sum 'Ba8 Hg2 Pt1 Au1'
_symmetry_space_group_name_H-M 'P 1 2/m 1'
_symmetry_Int_Tables_number 10
_cell_length_a 7.802
_cell_length_b 9.613
_cell_length_c 8.174
_cell_angle_alpha 90.00
_cell_angle_beta 90.61
_cell_angle_gamma 90.00
loop_
_symmetry_equiv_pos_as_xyz
'x,y,z'
'-x,-y,-z'
'-x,y,-z'
'x,-y,z'
loop_
_atom_site_label
_atom_site_type_symbol
_atom_site_fract_x
_atom_site_fract_y
_atom_site_fract_z
Ba1 Ba 0.229 0.240 0.159
Ba2 Ba 0.238 0.000 0.688
Ba3 Ba 0.250 0.500 0.676
Hg1 Hg 0.500 0.244 0.500
Pt1 Pt 0.000 0.000 0.000
Au1 Au 0.000 0.500 0.000
```

Entry 8:
Here is a relaxed RbBaHg2Au2 crystal from Alexandria via LeMat-Bulk. Energies are from GGA-PBE.

## Properties
final energy	-12.808	eV per formula unit
crystal system	trigonal
DOS(E_F)	3.07	states/eV/f.u.
total magnetic moment	0.00	μB/f.u.
calculated formation energy	-460	meV/atom

The structure in CIF format:
```
data_RbBaHg2Au2
_chemical_formula_sum 'Rb1 Ba1 Hg2 Au2'
_symmetry_space_group_name_H-M 'P -3 m 1'
_symmetry_Int_Tables_number 164
_symmetry_space_group_name_Hall '-P 3 2"'
_cell_length_a 5.0494
_cell_length_b 5.0494
_cell_length_c 9.0858
_cell_angle_alpha 90.00
_cell_angle_beta 90.00
_cell_angle_gamma 120.00
loop_
_atom_site_label
_atom_site_type_symbol
_atom_site_fract_x
_atom_site_fract_y
_atom_site_fract_z
Rb1 Rb 0.0000 0.0000 0.0000
Ba1 Ba 0.0000 0.0000 0.5000
Hg1 Hg 0.3333 0.6667 0.7327
Au1 Au 0.3333 0.6667 0.2946
```

Entry 9:
Here is a relaxed Ba8HgRhAu2 crystal from Alexandria via LeMat-Bulk. Energies are from GGA-PBE.

## Properties
final energy	-34.323	eV per formula unit
crystal system	monoclinic
DOS(E_F)	8.61	states/eV/f.u.
total magnetic moment	0.00	μB/f.u.
calculated formation energy	-394	meV/atom

The structure in CIF format:
```
data_Ba8HgRhAu2
_chemical_formula_sum 'Ba8 Hg1 Rh1 Au2'
_symmetry_space_group_name_H-M 'P 1 2/m 1'
_symmetry_Int_Tables_number 10
_cell_length_a 7.638
_cell_length_b 9.838
_cell_length_c 7.857
_cell_angle_alpha 90.00
_cell_angle_beta 90.60
_cell_angle_gamma 90.00
loop_
_symmetry_equiv_pos_as_xyz
'x,y,z'
'-x,-y,-z'
'-x,y,-z'
'x,-y,z'
loop_
_atom_site_label
_atom_site_type_symbol
_atom_site_fract_x
_atom_site_fract_y
_atom_site_fract_z
Ba1 Ba 0.221 0.000 0.334
Ba2 Ba 0.240 0.500 0.312
Ba3 Ba 0.279 0.274 0.828
Hg1 Hg 0.500 0.000 0.000
Rh1 Rh 0.500 0.500 0.000
Au1 Au 0.000 0.255 0.500
```

Entry 10:
Here is a relaxed Ba6HgRhAu2 crystal from Alexandria via LeMat-Bulk. Energies are from GGA-PBE.

## Properties
final energy	-30.120	eV per formula unit
crystal system	triclinic
DOS(E_F)	6.71	states/eV/f.u.
total magnetic moment	0.00	μB/f.u.
calculated formation energy	-438	meV/atom

The structure in CIF format:
```
data_Ba6HgRhAu2
_chemical_formula_sum 'Ba6 Hg1 Rh1 Au2'
_symmetry_space_group_name_H-M 'P 1'
_symmetry_Int_Tables_number 1
_cell_length_a 8.180
_cell_length_b 8.182
_cell_length_c 9.009
_cell_angle_alpha 116.96
_cell_angle_beta 90.06
_cell_angle_gamma 119.95
loop_
_symmetry_equiv_pos_as_xyz
'x,y,z'
loop_
_atom_site_label
_atom_site_type_symbol
_atom_site_fract_x
_atom_site_fract_y
_atom_site_fract_z
Ba1 Ba 0.000 0.000 0.000
Ba2 Ba 0.135 0.679 0.469
Ba3 Ba 0.301 0.673 0.000
Ba4 Ba 0.461 0.295 0.469
Ba5 Ba 0.673 0.372 0.999
Ba6 Ba 0.845 0.006 0.468
Hg1 Hg 0.569 0.836 0.733
Rh1 Rh 0.067 0.833 0.228
Au1 Au 0.242 0.184 0.754
Au2 Au 0.732 0.163 0.221
```

Entry 11:
Here is a relaxed Ba8Hg2RhAu crystal from Alexandria via LeMat-Bulk. Energies are from GGA-PBE.

## Properties
final energy	-30.649	eV per formula unit
crystal system	monoclinic
DOS(E_F)	11.05	states/eV/f.u.
total magnetic moment	0.00	μB/f.u.
calculated formation energy	-336	meV/atom

The structure in CIF format:
```
data_Ba8Hg2RhAu
_chemical_formula_sum 'Ba8 Hg2 Rh1 Au1'
_symmetry_space_group_name_H-M 'P 1 2/m 1'
_symmetry_Int_Tables_number 10
_cell_length_a 7.789
_cell_length_b 9.577
_cell_length_c 8.108
_cell_angle_alpha 90.00
_cell_angle_beta 90.71
_cell_angle_gamma 90.00
loop_
_symmetry_equiv_pos_as_xyz
'x,y,z'
'-x,-y,-z'
'-x,y,-z'
'x,-y,z'
loop_
_atom_site_label
_atom_site_type_symbol
_atom_site_fract_x
_atom_site_fract_y
_atom_site_fract_z
Ba1 Ba 0.227 0.235 0.158
Ba2 Ba 0.231 0.000 0.691
Ba3 Ba 0.250 0.500 0.675
Hg1 Hg 0.500 0.241 0.500
Rh1 Rh 0.000 0.000 0.000
Au1 Au 0.000 0.500 0.000
```

Entry 12:
Here is a relaxed Ba2Hg6RhAu crystal from Alexandria via LeMat-Bulk. Energies are from GGA-PBE.

## Properties
final energy	-19.106	eV per formula unit
crystal system	monoclinic
DOS(E_F)	6.26	states/eV/f.u.
total magnetic moment	0.00	μB/f.u.
calculated formation energy	-282	meV/atom

The structure in CIF format:
```
data_Ba2Hg6RhAu
_chemical_formula_sum 'Ba4 Hg12 Rh2 Au2'
_symmetry_space_group_name_H-M 'C 1 2/m 1'
_symmetry_Int_Tables_number 12
_cell_length_a 10.690
_cell_length_b 10.688
_cell_length_c 7.554
_cell_angle_alpha 90.00
_cell_angle_beta 134.89
_cell_angle_gamma 90.00
loop_
_symmetry_equiv_pos_as_xyz
'x,y,z'
'-x,-y,-z'
'-x,y,-z'
'x,-y,z'
'x+1/2,y+1/2,z'
'-x+1/2,-y+1/2,-z'
'-x+1/2,y+1/2,-z'
'x+1/2,-y+1/2,z'
loop_
_atom_site_label
_atom_site_type_symbol
_atom_site_fract_x
_atom_site_fract_y
_atom_site_fract_z
Ba1 Ba 0.000 0.250 0.000
Hg1 Hg 0.000 0.246 0.500
Hg2 Hg 0.246 0.000 0.500
Hg3 Hg 0.246 0.000 0.992
Rh1 Rh 0.000 0.000 0.500
Au1 Au 0.000 0.500 0.500
```

The V results, record by record, are as follows: 28.03; 27.35; 29.18; 29.14; 43.99; 45.40; 51.08; 33.44; 49.20; 44.50; 50.40; 30.57 Å³ per atom.